1.
# Ac6AuN2

An optimized crystal structure of Ac6AuN2 (PBE-GGA, the Alexandria database).

Calculated values
energy relative to the elements, uncorrected	-2.31	eV/f.u.
VASP energy	-5.209	eV/atom
DOS(E_F)	10.43	states/eV per cell
ρ	9.8	g/cm3

Lattice parameters (Å, degrees): 9.2764 9.2764 3.6210 90.00 90.00 120.00
Space group P-3 (No. 147)
One atom of each set of equivalent atoms:
Ac 0.1419 0.4219 0.2543 x6
Au 0.0000 0.0000 0.0000 x1
N 0.3333 0.6667 0.7728 x2

---

2.
# Ac4AuN2

An optimized crystal structure of Ac4AuN2 (PBE-GGA, the Alexandria database).

Calculated values
energy relative to the elements, uncorrected	-5.51	eV/f.u.
VASP energy	-5.981	eV/atom
DOS(E_F)	25.26	states/eV per cell
ρ	10.0	g/cm3

Lattice parameters (Å, degrees): 4.031 13.166 14.136 90.00 90.00 90.00
Space group Cmcm (No. 63)
One atom of each set of equivalent atoms:
Ac 0.000 0.000 0.000 x4
Ac 0.000 0.269 0.106 x8
Ac 0.000 0.429 0.750 x4
Au 0.000 0.110 0.750 x4
N 0.000 0.360 0.556 x8

---

3.
# Ac5Au4N

An optimized crystal structure of Ac5Au4N (PBE-GGA, the Alexandria database).

Calculated values
energy relative to the elements, uncorrected	-7.57	eV/f.u.
VASP energy	-4.955	eV/atom
DOS(E_F)	12.37	states/eV per cell
ρ	10.4	g/cm3

Lattice parameters (Å, degrees): 9.823 9.823 6.393 90.00 90.00 90.00
Space group I4 (No. 79)
One atom of each set of equivalent atoms:
Ac 0.000 0.000 0.000 x2
Ac 0.102 0.260 0.456 x8
Au 0.082 0.315 0.954 x8
N 0.000 0.000 0.387 x2

---

- What is the energy relative to the elements, uncorrected in the third record?
  -7.57 eV/f.u.

---

- What is the formula in the second record?
  Ac4AuN2

---

- The highest VASP energy belongs to which entry?
  Ac5Au4N